The following is a GGA-PBE calculation of a relaxed TbPr8Nd2 crystal, from the Alexandria database.

Lattice parameters (Å, degrees): 9.208 9.208 6.848 99.99 99.99 44.18
Atoms (fractional coordinates):
Tb (0.000, 0.000, 0.000)
Pr (0.176, 0.651, 0.595)
Pr (0.244, 0.244, 0.319)
Pr (0.349, 0.824, 0.405)
Pr (0.408, 0.408, 0.085)
Pr (0.592, 0.592, 0.915)
Pr (0.651, 0.176, 0.595)
Pr (0.756, 0.756, 0.681)
Pr (0.824, 0.349, 0.405)
Nd (0.195, 0.195, 0.810)
Nd (0.805, 0.805, 0.190)

***

The following is a GGA-PBE calculation of a relaxed TbPr5Nd2 crystal, from the Alexandria database.

Lattice parameters (Å, degrees): 7.363 14.750 5.218 90.00 90.00 90.00
Atoms (fractional coordinates):
Tb (0.000, 0.000, 0.000)
Tb (0.500, 0.500, 0.000)
Pr (0.000, 0.249, 0.000)
Pr (0.000, 0.500, 0.000)
Pr (0.000, 0.751, 0.000)
Pr (0.249, 0.124, 0.500)
Pr (0.251, 0.624, 0.500)
Pr (0.500, 0.000, 0.000)
Pr (0.500, 0.251, 0.000)
Pr (0.500, 0.749, 0.000)
Pr (0.749, 0.376, 0.500)
Pr (0.751, 0.876, 0.500)
Nd (0.249, 0.876, 0.500)
Nd (0.251, 0.376, 0.500)
Nd (0.749, 0.624, 0.500)
Nd (0.751, 0.124, 0.500)

***

The following is a GGA-PBE calculation of a relaxed Tb3Pr4Nd5 crystal, from the Alexandria database.

Lattice parameters (Å, degrees): 8.790 8.790 9.514 114.70 114.70 40.33
Atoms (fractional coordinates):
Tb (0.000, 0.000, 0.000)
Tb (0.291, 0.291, 0.773)
Tb (0.709, 0.709, 0.227)
Pr (0.283, 0.283, 0.122)
Pr (0.417, 0.417, 0.558)
Pr (0.583, 0.583, 0.442)
Pr (0.717, 0.717, 0.878)
Nd (0.074, 0.074, 0.701)
Nd (0.172, 0.172, 0.389)
Nd (0.500, 0.500, 0.000)
Nd (0.828, 0.828, 0.611)
Nd (0.926, 0.926, 0.299)

***

The following is a GGA-PBE calculation of a relaxed TbPr2Nd4 crystal, from the Alexandria database.

Lattice parameters (Å, degrees): 21.067 21.067 21.067 10.01 10.01 10.01
Atoms (fractional coordinates):
Tb (0.000, 0.000, 0.000)
Pr (0.428, 0.428, 0.428)
Pr (0.572, 0.572, 0.572)
Nd (0.143, 0.143, 0.143)
Nd (0.287, 0.287, 0.287)
Nd (0.713, 0.713, 0.713)
Nd (0.857, 0.857, 0.857)

***

Number 1: total moment 0.0 μB per formula unit, energy of formation 0.15 eV/atom, DOS at the Fermi energy 18.5 states/eV/f.u.. Number 2: total moment 0.0 μB per formula unit, energy of formation 0.01 eV/atom, DOS at the Fermi energy 12.7 states/eV/f.u.. Number 3: total moment 0.0 μB per formula unit, energy of formation 0.20 eV/atom, DOS at the Fermi energy 19.9 states/eV/f.u.. Number 4: total moment 0.0 μB per formula unit, energy of formation 0.01 eV/atom, DOS at the Fermi energy 9.5 states/eV/f.u..